La2SmTlN, relaxed, DFT GGA-PBE; final energy = -5.892 eV/atom
1.0
5.116 0.000 0.000
0.000 5.116 0.000
0.000 0.000 5.020
La Sm Tl N
2 1 1 1
direct
0.000 0.500 0.000 La
0.500 0.000 0.000 La
0.000 0.000 0.500 Sm
0.500 0.500 0.500 Tl
0.000 0.000 0.000 N

LaSm2TlN, relaxed, DFT GGA-PBE; final energy = -5.855 eV/atom
1.0
4.998 0.000 0.000
0.000 4.998 0.000
0.000 0.000 5.078
La Sm Tl N
1 2 1 1
direct
0.000 0.000 0.000 La
0.000 0.500 0.500 Sm
0.500 0.000 0.500 Sm
0.500 0.500 0.000 Tl
0.000 0.000 0.500 N

La3Sm2UN6, relaxed, DFT GGA-PBE; final energy = -8.576 eV/atom
1.0
3.121 -5.394 0.000
3.121 5.394 0.000
-2.075 0.000 5.980
La Sm U N
3 2 1 6
direct
0.000 0.000 0.000 La
0.332 0.668 0.000 La
0.668 0.332 0.000 La
0.166 0.834 0.500 Sm
0.834 0.166 0.500 Sm
0.500 0.500 0.500 U
0.127 0.427 0.282 N
0.272 0.272 0.724 N
0.427 0.127 0.282 N
0.573 0.873 0.718 N
0.728 0.728 0.276 N
0.873 0.573 0.718 N

La2Sm3UN6, relaxed, DFT GGA-PBE; final energy = -8.557 eV/atom
1.0
3.134 -5.432 0.000
3.134 5.432 0.000
-2.094 0.000 5.832
La Sm U N
2 3 1 6
direct
0.167 0.833 0.000 La
0.833 0.167 0.000 La
0.000 0.000 0.500 Sm
0.337 0.663 0.500 Sm
0.663 0.337 0.500 Sm
0.500 0.500 0.000 U
0.126 0.421 0.764 N
0.281 0.281 0.239 N
0.421 0.126 0.764 N
0.579 0.874 0.236 N
0.719 0.719 0.761 N
0.874 0.579 0.236 N

La2SmUN5, relaxed, DFT GGA-PBE; final energy = -8.767 eV/atom
1.0
4.115 0.000 0.000
0.000 4.115 0.000
0.000 0.000 9.166
La Sm U N
2 1 1 5
direct
0.000 0.000 0.230 La
0.000 0.000 0.770 La
0.500 0.500 0.500 Sm
0.500 0.500 0.000 U
0.000 0.000 0.500 N
0.000 0.500 0.000 N
0.500 0.000 0.000 N
0.500 0.500 0.246 N
0.500 0.500 0.754 N

LaSm2WN4, relaxed, DFT GGA-PBE; final energy = -8.630 eV/atom
1.0
1.743 -6.096 0.000
1.743 6.096 0.000
0.000 0.000 12.300
La Sm W N
2 4 2 8
direct
0.083 0.917 0.750 La
0.917 0.083 0.250 La
0.370 0.630 0.539 Sm
0.370 0.630 0.961 Sm
0.630 0.370 0.039 Sm
0.630 0.370 0.461 Sm
0.174 0.826 0.250 W
0.826 0.174 0.750 W
0.000 0.000 0.000 N
0.000 0.000 0.500 N
0.265 0.735 0.125 N
0.265 0.735 0.375 N
0.424 0.576 0.750 N
0.576 0.424 0.250 N
0.735 0.265 0.625 N
0.735 0.265 0.875 N

LaSmY2N4, relaxed, DFT GGA-PBE; final energy = -8.503 eV/atom
1.0
6.192 0.000 0.000
0.000 3.573 0.000
-2.058 0.000 5.849
La Sm Y N
1 1 2 4
direct
0.000 0.000 0.000 La
0.500 0.500 0.000 Sm
0.000 0.500 0.500 Y
0.500 0.000 0.500 Y
0.251 0.000 0.742 N
0.258 0.500 0.262 N
0.742 0.500 0.738 N
0.749 0.000 0.258 N

La2SmZnN, relaxed, DFT GGA-PBE; final energy = -5.491 eV/atom
1.0
5.083 0.000 0.000
0.000 5.083 0.000
0.000 0.000 4.921
La Sm Zn N
2 1 1 1
direct
0.000 0.500 0.000 La
0.500 0.000 0.000 La
0.000 0.000 0.500 Sm
0.500 0.500 0.500 Zn
0.000 0.000 0.000 N

Record-wise uncorrected formation energy values, in kJ/mol of formula units: -404; -407; -1684; -1682; -1102; -812; -1172; -317
Record-wise V values, in Å³/atom: 26.28; 25.37; 16.78; 16.55; 17.25; 16.34; 16.17; 25.43
Record-wise spin magnetization values, in μB per formula unit: 0.000; 0.000; 0.000; 0.262; 0.000; 0.000; 0.000; 0.000